No. 1
# GGA-PBE Dy2ErPa2Co5, optimized geometry
data_Dy2ErPa2Co5
_cell_length_a 10.472
_cell_length_b 10.472
_cell_length_c 3.449
_cell_angle_alpha 90.00
_cell_angle_beta 90.00
_cell_angle_gamma 90.00
_space_group_name_H-M_alt 'P 4/m b m'
_space_group_IT_number 127
_space_group_name_Hall '-P 4 2ab'
loop_
_atom_site_label
_atom_site_fract_x
_atom_site_fract_y
_atom_site_fract_z
Dy1 0.171 0.329 0.000
Er1 0.000 0.000 0.000
Pa1 0.136 0.636 0.000
Co1 0.000 0.500 0.500
Co2 0.040 0.778 0.500
# E_tot (eV/atom): -6.9770



No. 2
# GGA-PBE DyErCoRh, optimized geometry
data_DyErCoRh
_cell_length_a 6.742
_cell_length_b 6.742
_cell_length_c 6.742
_cell_angle_alpha 90.00
_cell_angle_beta 90.00
_cell_angle_gamma 90.00
_space_group_name_H-M_alt 'F -4 3 m'
_space_group_IT_number 216
_space_group_name_Hall 'F -4 2 3'
loop_
_atom_site_label
_atom_site_fract_x
_atom_site_fract_y
_atom_site_fract_z
Dy1 0.000 0.000 0.000
Er1 0.000 0.000 0.500
Co1 0.250 0.250 0.250
Rh1 0.250 0.250 0.750
# E_tot (eV/atom): -6.4283



Q: Which value of E_tot does entry 2 give?
A: -6.4283 eV/atom